A PBEsol-optimized structure of Nd2Fe4Co13. Source: the Alexandria database, functional SCAN.

- Uncorrected energy: -20.270 eV/atom
- SG: R3m, No. 160
- Magnetization: 30.9 μB per cell

Cell and atoms, written as POSCAR:
```
Nd2Fe4Co13
1.0
4.1285 2.3836 4.0274
-4.1285 2.3836 4.0274
0.0000 -4.7672 4.0274
Nd Fe Co
2 4 13
Direct
0.0000 0.0000 0.0000
0.3118 0.3118 0.3118
0.1521 0.6582 0.6582
0.5623 0.5623 0.5623
0.6582 0.1521 0.6582
0.6582 0.6582 0.1521
0.9998 0.9998 0.5009
0.9998 0.5009 0.9998
0.3128 0.3128 0.8076
0.3128 0.8076 0.3128
0.3703 0.6563 0.9418
0.3703 0.9418 0.6563
0.5009 0.9998 0.9998
0.6563 0.3703 0.9418
0.6563 0.9418 0.3703
0.7521 0.7521 0.7521
0.8076 0.3128 0.3128
0.9418 0.3703 0.6563
0.9418 0.6563 0.3703
```

=====

A PBEsol-optimized structure of Nd2FeCo3Si4. Source: the Alexandria database, functional SCAN.

- Uncorrected energy: -20.394 eV/atom
- SG: P-4m2, No. 115
- Uncorrected formation energy: -0.667 eV per atom
- Magnetization: 0.0 μB per cell

Cell and atoms, written as POSCAR:
```
Nd2FeCo3Si4
1.0
3.9162 0.0000 0.0000
0.0000 3.9162 0.0000
0.0000 0.0000 9.7881
Nd Fe Co Si
2 1 3 4
Direct
0.0000 0.5000 0.2483
0.5000 0.0000 0.7517
0.5000 0.5000 0.0000
0.0000 0.0000 0.0000
0.0000 0.0000 0.5000
0.5000 0.5000 0.5000
0.0000 0.5000 0.6170
0.0000 0.5000 0.8859
0.5000 0.0000 0.1141
0.5000 0.0000 0.3830
```

=====

A PBEsol-optimized structure of NdFeCoSi2. Source: the Alexandria database, functional SCAN.

- Uncorrected energy: -20.439 eV/atom
- SG: I-4m2, No. 119
- Uncorrected formation energy: -0.630 eV per atom
- Magnetization: 0.0 μB per cell

Cell and atoms, written as POSCAR:
```
NdFeCoSi2
1.0
-1.9677 1.9677 4.8603
1.9677 -1.9677 4.8603
1.9677 1.9677 -4.8603
Nd Fe Co Si
1 1 1 2
Direct
0.0000 0.0000 0.0000
0.2500 0.7500 0.5000
0.7500 0.2500 0.5000
0.3641 0.3641 0.0000
0.6359 0.6359 0.0000
```

=====

A PBEsol-optimized structure of Nd2FeCo17Si8. Source: the Alexandria database, functional SCAN.

- Uncorrected energy: -17.525 eV/atom
- SG: Fmmm, No. 69
- Uncorrected formation energy: -0.396 eV per atom
- Magnetization: 11.8 μB per cell

Cell and atoms, written as POSCAR:
```
Nd2FeCo17Si8
1.0
0.0000 5.4104 5.6425
5.3995 0.0000 5.6425
5.3995 5.4104 0.0000
Nd Fe Co Si
2 1 17 8
Direct
0.2500 0.2500 0.2500
0.7500 0.7500 0.7500
0.0000 0.0000 0.0000
0.0522 0.3071 0.9478
0.0689 0.9311 0.7018
0.1926 0.4484 0.5516
0.2009 0.7991 0.4299
0.2982 0.7018 0.9311
0.3071 0.0522 0.6929
0.4299 0.5701 0.2009
0.4484 0.1926 0.8074
0.5000 0.5000 0.5000
0.5516 0.8074 0.1926
0.5701 0.4299 0.7991
0.6929 0.9478 0.3071
0.7018 0.2982 0.0689
0.7991 0.2009 0.5701
0.8074 0.5516 0.4484
0.9311 0.0689 0.2982
0.9478 0.6929 0.0522
0.0493 0.7082 0.2918
0.2085 0.5499 0.7915
0.2918 0.9507 0.0493
0.4501 0.7915 0.5499
0.5499 0.2085 0.4501
0.7082 0.0493 0.9507
0.7915 0.4501 0.2085
0.9507 0.2918 0.7082
```